(1)
This record from Alexandria describes ScSiAs2 after structural relaxation. The functional is PBE.

Cell lengths 4.5004, 4.5004, 3.5701 Å; angles 90.00, 90.00, 90.00 degrees
Last column: nearest neighbours and their distance in Å.
Atoms (fractional coordinates):
Si  0.0000  0.5000  0.5000  8 As 2.87, 4 Sc 3.18
Sc  0.5000  0.0000  0.5000  8 As 2.87, 4 Si 3.18
As  0.0000  0.0000  0.0000  4 Sc 2.87, 4 Si 2.87, 4 As 3.18
As  0.5000  0.5000  0.0000  4 Si 2.87, 4 Sc 2.87, 4 As 3.18

Output
Formation energy (no corrections): -278 meV per atom
Total energy: -22.165 eV per cell
SG: P4/mmm (123)

---

(2)
This record from Alexandria describes Sc2SiAs after structural relaxation. The functional is PBE.

Cell lengths 5.0940, 5.0940, 2.8771 Å; angles 90.00, 90.00, 90.00 degrees
Last column: nearest neighbours and their distance in Å.
Atoms (fractional coordinates):
Sc  0.5000  0.5000  0.0000  2 Sc 2.88, 4 As 2.93, 4 Si 2.93
Sc  0.0000  0.0000  0.0000  2 Sc 2.88, 4 As 2.93, 4 Si 2.93
As  0.0000  0.5000  0.5000  2 As 2.88, 8 Sc 2.93
Si  0.5000  0.0000  0.5000  2 Si 2.88, 8 Sc 2.93

Output
Formation energy (no corrections): -657 meV per atom
Total energy: -25.364 eV per cell
SG: P4/mmm (123)

---

(3)
This record from Alexandria describes Sc3SiAs after structural relaxation. The functional is PBE.

Cell lengths 4.9332, 4.9332, 4.9332 Å; angles 90.00, 90.00, 90.00 degrees
Last column: nearest neighbours and their distance in Å.
Atoms (fractional coordinates):
Sc  0.0000  0.0000  0.5000  2 As 2.47
Sc  0.0000  0.5000  0.0000  2 As 2.47
Sc  0.5000  0.0000  0.0000  2 As 2.47
Si  0.5000  0.5000  0.5000  12 Sc 3.49
As  0.0000  0.0000  0.0000  6 Sc 2.47

Output
Formation energy (no corrections): -291 meV per atom
Total energy: -30.523 eV per cell
Relative energy among the computed polymorphs: 0.000 eV/atom
SG: Pm-3m (221)

---

(4)
This record from Alexandria describes ScSiAs2 after structural relaxation. The functional is PBE.

Cell lengths 4.7631, 4.7631, 4.7631 Å; angles 60.00, 60.00, 60.00 degrees
Last column: nearest neighbours and their distance in Å.
Atoms (fractional coordinates):
As  0.0000  0.0000  0.0000  4 Si 2.92, 4 As 2.92
Si  0.7500  0.7500  0.7500  4 Sc 2.92, 4 As 2.92
Sc  0.5000  0.5000  0.5000  4 As 2.92, 4 Si 2.92
As  0.2500  0.2500  0.2500  4 As 2.92, 4 Sc 2.92

Output
Formation energy (no corrections): 56 meV per atom
Total energy: -20.829 eV per cell
SG: F-43m (216)

---

(5)
This record from Alexandria describes ScSiAs4 after structural relaxation. The functional is PBE.

Cell lengths 5.5164, 5.5164, 5.5164 Å; angles 60.00, 60.00, 60.00 degrees
Last column: nearest neighbours and their distance in Å.
Atoms (fractional coordinates):
Si  0.0000  0.0000  0.0000  12 As 3.23, 4 Sc 3.38
As  0.3752  0.3752  0.8743  6 As 2.75-2.76
As  0.3752  0.3752  0.3752  6 As 2.75-2.76
Sc  0.7500  0.7500  0.7500  12 As 3.23, 4 Si 3.38
As  0.8743  0.3752  0.3752  6 As 2.75-2.76
As  0.3752  0.8743  0.3752  6 As 2.75-2.76

Output
Formation energy (no corrections): 219 meV per atom
Total energy: -29.041 eV per cell
SG: F-43m (216)

---

(6)
This record from Alexandria describes ScSiAs2 after structural relaxation. The functional is PBE.

Cell lengths 5.1211, 5.1211, 5.1211 Å; angles 139.64, 122.36, 72.71 degrees
Last column: nearest neighbours and their distance in Å.
Atoms (fractional coordinates):
Si  0.7500  0.2500  0.5000  4 As 2.52
As  0.9679  0.9679  0.0000  2 Si 2.52
Sc  0.2500  0.7500  0.5000  8 As 2.92-3.05, 4 Si 3.04
As  0.5321  0.5321  0.0000  2 Si 2.52

Output
Formation energy (no corrections): -342 meV per atom
Total energy: -22.423 eV per cell
SG: Immm (71)

---

(7)
This record from Alexandria describes Sc4SiAs after structural relaxation. The functional is PBE.

Cell lengths 5.6136, 5.6136, 5.6136 Å; angles 60.00, 60.00, 60.00 degrees
Last column: nearest neighbours and their distance in Å.
Atoms (fractional coordinates):
Sc  0.3755  0.3755  0.3755  6 Sc 2.79-2.82
Sc  0.3755  0.8734  0.3755  6 Sc 2.79-2.82
Sc  0.3755  0.3755  0.8734  6 Sc 2.79-2.82
Si  0.7500  0.7500  0.7500  12 Sc 3.29, 4 As 3.44
As  0.0000  0.0000  0.0000  12 Sc 3.29, 4 Si 3.44
Sc  0.8734  0.3755  0.3755  6 Sc 2.79-2.82

Output
Formation energy (no corrections): 152 meV per atom
Total energy: -34.486 eV per cell
SG: F-43m (216)

---

(8)
This record from Alexandria describes Sc2SiAs after structural relaxation. The functional is PBE.

Cell lengths 3.9223, 3.8245, 6.7432 Å; angles 54.06, 90.00, 90.00 degrees
Last column: nearest neighbours and their distance in Å.
Atoms (fractional coordinates):
Sc  0.5000  0.1248  0.3750  2 As 2.73, 4 Si 2.74
As  0.5000  0.6252  0.8750  6 Sc 2.73-2.74
Si  0.0000  0.6249  0.3750  6 Sc 2.73-2.74
Sc  0.0000  0.1251  0.8750  2 Si 2.73, 4 As 2.74

Output
Formation energy (no corrections): -868 meV per atom
Total energy: -26.206 eV per cell
SG: P2/m (10)

---

(9)
This record from Alexandria describes ScSiAs2 after structural relaxation. The functional is PBE.

Cell lengths 4.6279, 4.6279, 3.6601 Å; angles 84.87, 84.87, 105.62 degrees
Last column: nearest neighbours and their distance in Å.
Atoms (fractional coordinates):
As  0.0000  0.0000  0.0000  2 As 2.80, 4 Sc 2.82-3.08, 4 Si 2.82-3.08
Sc  0.5000  0.0000  0.5000  2 Si 2.80, 8 As 2.82-3.08
As  0.5000  0.5000  0.0000  2 As 2.80, 4 Si 2.82-3.08, 4 Sc 2.82-3.08
Si  0.0000  0.5000  0.5000  2 Sc 2.80, 8 As 2.82-3.08

Output
Formation energy (no corrections): -302 meV per atom
Total energy: -22.261 eV per cell
SG: C2/m (12)

---

(10)
This record from Alexandria describes ScSiAs2 after structural relaxation. The functional is PBE.

Cell lengths 4.5638, 4.5638, 3.6402 Å; angles 90.00, 90.00, 103.58 degrees
Last column: nearest neighbours and their distance in Å.
Atoms (fractional coordinates):
As  0.5000  0.5000  0.0000  2 As 2.82, 4 Si 2.92, 4 Sc 2.92
As  0.0000  0.0000  0.0000  2 As 2.82, 4 Sc 2.92, 4 Si 2.92
Sc  0.5000  0.0000  0.5000  2 Si 2.82, 8 As 2.92
Si  0.0000  0.5000  0.5000  2 Sc 2.82, 8 As 2.92

Output
Formation energy (no corrections): -302 meV per atom
Total energy: -22.263 eV per cell
SG: Cmmm (65)

---

(11)
This record from Alexandria describes ScSiAs2 after structural relaxation. The functional is PBE.

Cell lengths 9.9891, 9.9891, 9.9891 Å; angles 17.40, 17.40, 17.40 degrees
Last column: nearest neighbours and their distance in Å.
Atoms (fractional coordinates):
Si  0.7500  0.7500  0.7500  6 Si 3.02, 6 As 3.19
As  0.9928  0.9928  0.9928  3 Sc 2.84, 6 As 3.02
Sc  0.2500  0.2500  0.2500  6 As 2.84, 6 Sc 3.02
As  0.5072  0.5072  0.5072  3 Sc 2.84, 6 As 3.02

Output
Formation energy (no corrections): 75 meV per atom
Total energy: -20.755 eV per cell
SG: R-3m (166)

---

(12)
This record from Alexandria describes ScSiSn2As after structural relaxation. The functional is PBE.

Cell lengths 5.3358, 5.0121, 5.3358 Å; angles 90.00, 90.00, 90.00 degrees
Last column: nearest neighbours and their distance in Å.
Atoms (fractional coordinates):
As  0.0000  0.0000  0.0000  2 Sc 2.51, 4 Sn 2.67
Sc  0.0000  0.5000  0.0000  2 As 2.51
Sn  0.0000  0.0000  0.5000  2 As 2.67
Si  0.5000  0.5000  0.5000  8 Sn 3.66, 4 Sc 3.77
Sn  0.5000  0.0000  0.0000  2 As 2.67

Output
Formation energy (no corrections): 462 meV per atom
Total energy: -22.099 eV per cell
SG: P4/mmm (123)

---

(13)
This record from Alexandria describes ScSi2SnAs after structural relaxation. The functional is PBE.

Cell lengths 5.0548, 5.0544, 5.0548 Å; angles 90.00, 90.00, 90.00 degrees
Last column: nearest neighbours and their distance in Å.
Atoms (fractional coordinates):
Si  0.0000  0.0000  0.5000  2 Sc 2.53
Sn  0.5000  0.5000  0.5000  8 Si 3.57, 4 As 3.57
Si  0.5000  0.0000  0.0000  2 Sc 2.53
Sc  0.0000  0.0000  0.0000  2 As 2.53, 4 Si 2.53
As  0.0000  0.5000  0.0000  2 Sc 2.53

Output
Formation energy (no corrections): 550 meV per atom
Total energy: -23.078 eV per cell
SG: P4/mmm (123)